(1)
Cu2AsBr: relaxed, PBE-GGA.

Values from the calculation:
Volume, Å³/cell: 81.23
Formation energy from raw total energies, eV per atom: 0.0625
Energy above the most stable polymorph in this dataset, eV per atom: 0.021
DOS(E_F), states/eV per cell: 1.65
Size of the total moment, Bohr magnetons per cell: 0.0

Cell: 4.242 4.242 6.131 Å, 105.24 105.24 50.31°
Atoms (fractional coordinates):
Cu (0.000, 0.000, 0.000)
Cu (0.744, 0.744, 0.171)
As (0.469, 0.469, 0.278)
Br (0.155, 0.155, 0.718)

(2)
Cu2AsBr: relaxed, PBE-GGA.

Values from the calculation:
Volume, Å³/cell: 176.26
Formation energy from raw total energies, eV per atom: 0.0580
Energy above the most stable polymorph in this dataset, eV per atom: 0.016
DOS(E_F), states/eV per cell: 2.64
Size of the total moment, Bohr magnetons per cell: 0.0

Cell: 6.590 6.590 6.590 Å, 127.14 127.14 78.02°
Atoms (fractional coordinates):
Cu (0.097, 0.625, 0.972)
Cu (0.375, 0.347, 0.472)
Cu (0.653, 0.125, 0.028)
Cu (0.875, 0.903, 0.528)
As (0.000, 0.000, 0.000)
As (0.750, 0.250, 0.500)
Br (0.250, 0.750, 0.500)
Br (0.500, 0.500, 0.000)

(3)
CuAsBr2: relaxed, PBE-GGA.

Values from the calculation:
Volume, Å³/cell: 87.78
Formation energy from raw total energies, eV per atom: 0.2572
Energy above the most stable polymorph in this dataset, eV per atom: 0.444
DOS(E_F), states/eV per cell: 3.08
Size of the total moment, Bohr magnetons per cell: 0.0

Cell: 8.346 8.346 8.346 Å, 24.48 24.48 24.48°
Atoms (fractional coordinates):
Cu (0.000, 0.000, 0.000)
As (0.500, 0.500, 0.500)
Br (0.268, 0.268, 0.268)
Br (0.732, 0.732, 0.732)